Entry from Alexandria: a PBEsol-optimized structure of Zn3Pt (meta-GGA SCAN).

```
Zn3Pt
1.0
2.848 0.000 0.000
0.000 3.666 0.000
0.000 0.000 5.340
Zn Pt
3 1
Direct
0.000 0.000 0.000
0.500 0.500 0.252
0.500 0.500 0.748
0.000 0.000 0.500
```

Computed properties:
The total magnetic moment comes out at 0.000 μB per formula unit. As for the total energy: -28.0320 eV/atom. The value obtained for the energy of formation from the pure elements is -347 meV per atom. The crystal system is orthorhombic. Its space-group type is Pmmm (47).